NaSiPO2 | SCAN | PBEsol geometry

It has space group P4/mmm (No. 123), with a = 3.5256 Å, b = 3.5256 Å, c = 4.9984 Å, α = 90.00°, β = 90.00° and γ = 90.00°. The distinct sites, in fractional coordinates, are Na at (0.0000, 0.0000, 0.0000), Si at (0.5000, 0.5000, 0.5000), P at (0.5000, 0.5000, 0.0000) and O at (0.0000, 0.5000, 0.5000).

Its crystal system is tetragonal. The magnetic moment comes out at 0.000 μB/f.u. The calculation puts the total energy at -8.319 eV/atom.

Y2ScCuRh | SCAN | PBEsol geometry

It has space group P4/mmm (No. 123), with a = 5.0658 Å, b = 5.0658 Å, c = 4.6327 Å, α = 90.00°, β = 90.00° and γ = 90.00°. The distinct sites, in fractional coordinates, are Y at (0.0000, 0.5000, 0.0000), Sc at (0.0000, 0.0000, 0.5000), Cu at (0.5000, 0.5000, 0.0000) and Rh at (0.5000, 0.5000, 0.5000).

Its crystal system is tetragonal. The magnetic moment comes out at 0.000 μB/f.u. The calculation puts the total energy at -23.622 eV/atom.

Sr2ScTaAs | SCAN | PBEsol geometry

It has space group P4/mmm (No. 123), with a = 5.7646 Å, b = 5.7646 Å, c = 4.7110 Å, α = 90.00°, β = 90.00° and γ = 90.00°. The distinct sites, in fractional coordinates, are Sr at (0.0000, 0.5000, 0.0000), Sc at (0.0000, 0.0000, 0.0000), Ta at (0.0000, 0.0000, 0.5000) and As at (0.5000, 0.5000, 0.5000).

Its crystal system is tetragonal. The magnetic moment comes out at 0.000 μB/f.u. The calculation puts the total energy at -27.941 eV/atom.

Q: magnetic moment of number 3 (Sr2ScTaAs)?
A: 0.000 μB/f.u.